A geometry-optimized Co6NiRh2 structure, computed with GGA-PBE.

The value obtained for the formation enthalpy at 0 K is 226 meV/atom.

It has space group P-3m1 (No. 164), with a = 4.7512 Å, b = 4.7512 Å, c = 5.6766 Å, α = 90.00°, β = 90.00° and γ = 120.00°. The distinct sites, in fractional coordinates, are Co at (0.1724, 0.3449, 0.1701), Ni at (0.0000, 0.0000, 0.5000) and Rh at (0.3333, 0.6667, 0.6041).